Entry from Alexandria via LeMat-Bulk: ScIr3Cl at its PBEsol-relaxed geometry (SCAN).

Values from the calculation:
VASP energy = -225.611 eV for the cell shown
Spin magnetization = 3.71 Bohr magnetons per cell

a b c (Å): 4.7297 4.7297 4.7297
angles (deg): 90.00 90.00 90.00
With the nearest neighbours (Å) after each atom.
Atoms (fractional coordinates):
Sc: 0.0000 0.0000 0.0000  6 Ir 2.36
Ir: 0.0000 0.5000 0.0000  2 Sc 2.36
Ir: 0.0000 0.0000 0.5000  2 Sc 2.36
Ir: 0.5000 0.0000 0.0000  2 Sc 2.36
Cl: 0.5000 0.5000 0.5000  12 Ir 3.34